Entry 1:
This record from OQMD describes AgI after structural relaxation. The functional is GGA-PBE.

Values from the calculation:
- V: 35.9 Å³ per atom
- Crystal system: hexagonal
- DFT total energy: -39.3 eV/cell
- Symmetry: P6_3mc (186)

a = 4.6711 Å, b = 4.6711 Å, c = 30.3783 Å
α = 90.00°, β = 90.00°, γ = 120.00°
With the nearest neighbours (Å) after each atom.
Fractional positions:
1 Ag 0.0000 0.0000 0.4997  4 I 2.85-2.87
2 Ag 0.0000 0.0000 0.9997  4 I 2.85-2.87
3 Ag 0.3333 0.6667 0.3748  4 I 2.85-2.86
4 Ag 0.6667 0.3333 0.2497  4 I 2.85-2.87
5 Ag 0.6667 0.3333 0.6247  4 I 2.85-2.87
6 Ag 0.3333 0.6667 0.7497  4 I 2.85-2.87
7 Ag 0.6667 0.3333 0.8748  4 I 2.85-2.86
8 Ag 0.3333 0.6667 0.1247  4 I 2.85-2.87
9 I 0.3333 0.6667 0.2190  4 Ag 2.85-2.87
10 I 0.0000 0.0000 0.0941  4 Ag 2.85-2.87
11 I 0.0000 0.0000 0.5941  4 Ag 2.85-2.87
12 I 0.6667 0.3333 0.3441  4 Ag 2.85-2.87
13 I 0.6667 0.3333 0.9691  4 Ag 2.85-2.86
14 I 0.6667 0.3333 0.7190  4 Ag 2.85-2.87
15 I 0.3333 0.6667 0.4691  4 Ag 2.85-2.86
16 I 0.3333 0.6667 0.8441  4 Ag 2.85-2.87

***

Entry 2:
This record from OQMD describes DyHoAl4Fe2 after structural relaxation. The functional is GGA-PBE.

Values from the calculation:
- V: 17.7 Å³ per atom
- Crystal system: orthorhombic
- DFT total energy: -43.7 eV/cell
- Symmetry: Amm2 (38)

a = 7.0684 Å, b = 5.3825 Å, c = 5.3825 Å
α = 43.88°, β = 90.00°, γ = 90.00°
With the nearest neighbours (Å) after each atom.
Fractional positions:
1 Ho 0.5000 0.9379 0.9379  3 Fe 2.77-3.00
2 Al 0.8058 0.3439 0.3439  3 Fe 2.50-2.52, 1 Al 2.74
3 Al 0.1942 0.3439 0.3439  3 Fe 2.50-2.52, 1 Al 2.74
4 Al 0.6931 0.6560 0.6560  3 Fe 2.50-2.52, 1 Al 2.73
5 Al 0.3069 0.6560 0.6560  3 Fe 2.50-2.52, 1 Al 2.73
6 Dy 0.0000 0.0619 0.0619  3 Fe 2.76-3.00
7 Fe 0.5000 0.2149 0.2149  6 Al 2.50-2.52, 1 Ho 2.77
8 Fe 0.0000 0.7853 0.7853  6 Al 2.50-2.52, 1 Dy 2.76

***

Entry 3:
This record from OQMD describes Hf2Sb3Mo4C3 after structural relaxation. The functional is GGA-PBE.

Values from the calculation:
- V: 15.7 Å³ per atom
- Crystal system: monoclinic
- DFT total energy: -212.1 eV/cell
- Symmetry: C2/c (15)

a = 5.7507 Å, b = 5.7507 Å, c = 13.4894 Å
α = 101.50°, β = 101.50°, γ = 60.26°
With the nearest neighbours (Å) after each atom.
Fractional positions:
1 Mo 0.9794 0.8092 0.4209  3 C 2.17-2.19
2 Mo 0.1448 0.3066 0.9223  3 C 2.17
3 Mo 0.8552 0.6934 0.0777  3 C 2.17
4 Mo 0.1908 0.0207 0.0791  3 C 2.17-2.19
5 Mo 0.8092 0.9794 0.9209  3 C 2.17-2.19
6 Mo 0.3066 0.1448 0.4223  3 C 2.17
7 Mo 0.6934 0.8552 0.5777  3 C 2.17
8 Mo 0.0207 0.1908 0.5791  3 C 2.17-2.19
9 Hf 0.6385 0.4695 0.4061  3 C 2.28-2.30
10 Hf 0.4695 0.6385 0.9061  3 C 2.28-2.30
11 Hf 0.5305 0.3615 0.0939  3 C 2.28-2.30
12 Hf 0.3615 0.5305 0.5939  3 C 2.28-2.30
13 Sb 0.7786 0.5806 0.7477  4 Mo 2.87-2.97, 2 Hf 2.91-2.93, 4 Sb 3.19-3.20
14 Sb 0.5806 0.7786 0.2477  4 Mo 2.87-2.97, 2 Hf 2.91-2.93, 4 Sb 3.19-3.20
15 Sb 0.9428 0.0572 0.2500  4 Mo 2.87-2.94, 2 Hf 2.91, 4 Sb 3.19-3.20
16 Sb 0.2214 0.4194 0.2523  4 Mo 2.87-2.97, 2 Hf 2.91-2.93, 4 Sb 3.19-3.20
17 Sb 0.0572 0.9428 0.7500  4 Mo 2.87-2.94, 2 Hf 2.91, 4 Sb 3.19-3.20
18 Sb 0.4194 0.2214 0.7523  4 Mo 2.87-2.97, 2 Hf 2.91-2.93, 4 Sb 3.19-3.20
19 C 0.3338 0.8346 0.5004  4 Mo 2.17-2.19, 2 Hf 2.28-2.30
20 C 0.0000 0.5000 0.5000  4 Mo 2.17-2.19, 2 Hf 2.28
21 C 0.6662 0.1654 0.4996  4 Mo 2.17-2.19, 2 Hf 2.28-2.30
22 C 0.5000 0.0000 0.0000  4 Mo 2.17-2.19, 2 Hf 2.28
23 C 0.8346 0.3338 0.0004  4 Mo 2.17-2.19, 2 Hf 2.28-2.30
24 C 0.1654 0.6662 0.9996  4 Mo 2.17-2.19, 2 Hf 2.28-2.30

***

Entry 4:
This record from OQMD describes BeGaTc2 after structural relaxation. The functional is GGA-PBE.

Values from the calculation:
- V: 13.2 Å³ per atom
- Crystal system: cubic
- DFT total energy: -27.7 eV/cell
- Symmetry: F-43m (216)

a = 4.2081 Å, b = 4.2081 Å, c = 4.2081 Å
α = 60.00°, β = 60.00°, γ = 60.00°
With the nearest neighbours (Å) after each atom.
Fractional positions:
1 Ga 0.5000 0.5000 0.5000  4 Be 2.58, 4 Tc 2.58
2 Be 0.2500 0.2500 0.2500  4 Ga 2.58, 4 Tc 2.58
3 Tc 0.0000 0.0000 0.0000  4 Tc 2.58, 4 Be 2.58
4 Tc 0.7500 0.7500 0.7500  4 Tc 2.58, 4 Ga 2.58

***

Entry 5:
This record from OQMD describes SmThPd after structural relaxation. The functional is GGA-PBE.

Values from the calculation:
- V: 29.3 Å³ per atom
- Crystal system: cubic
- Symmetry: F-43m (216)
- Energy of formation from the pure elements: -251 meV per atom
- Excess energy over the best structure of this formula in the dataset: 0.0 kJ/mol of formula units

a = 4.9905 Å, b = 4.9905 Å, c = 4.9905 Å
α = 60.00°, β = 60.00°, γ = 60.00°
With the nearest neighbours (Å) after each atom.
Fractional positions:
1 Pd 0.0000 0.0000 0.0000  4 Th 3.06, 4 Sm 3.06
2 Th 0.7500 0.7500 0.7500  4 Pd 3.06
3 Sm 0.2500 0.2500 0.2500  4 Pd 3.06

***

Entry 6:
This record from OQMD describes SmNi4B after structural relaxation. The functional is GGA-PBE.

Values from the calculation:
- V: 12.9 Å³ per atom
- Crystal system: hexagonal
- DFT total energy: -72.7 eV/cell
- Symmetry: P6/mmm (191)

a = 5.0428 Å, b = 5.0428 Å, c = 7.0039 Å
α = 90.00°, β = 90.00°, γ = 120.01°
With the nearest neighbours (Å) after each atom.
Fractional positions:
1 Ni 0.1667 0.8333 0.5000  6 Ni 2.52
2 Ni 0.0000 0.0000 0.7933  2 B 2.05
3 Ni 0.0000 0.0000 0.2067  2 B 2.05
4 Ni 0.5000 0.0000 0.2067  2 B 2.05
5 Ni 0.5000 0.0000 0.7933  2 B 2.05
6 Ni 0.8333 0.1667 0.5000  6 Ni 2.52
7 Ni 0.0000 0.5000 0.7933  2 B 2.05
8 Ni 0.0000 0.5000 0.2067  2 B 2.05
9 B 0.1667 0.8333 0.0000  6 Ni 2.05
10 B 0.8333 0.1667 0.0000  6 Ni 2.05
11 Sm 0.5000 0.5000 0.0000  12 Ni 2.91, 6 B 2.91
12 Sm 0.5000 0.5000 0.5000  18 Ni 2.91-3.25

***

Entry 7:
This record from OQMD describes RbCu3SnTe4 after structural relaxation. The functional is GGA-PBE.

Values from the calculation:
- V: 30.3 Å³ per atom
- Crystal system: monoclinic
- Symmetry: P2_1/m (11)
- Excess energy over the best structure of this formula in the dataset: 0.0 kJ/mol of formula units

a = 6.1841 Å, b = 8.2677 Å, c = 10.9802 Å
α = 90.00°, β = 104.02°, γ = 90.00°
With the nearest neighbours (Å) after each atom.
Fractional positions:
1 Cu 0.8504 0.7500 0.1946  2 Cu 2.60, 4 Te 2.67-2.89
2 Cu 0.1996 0.0464 0.9904  3 Te 2.59-2.65, 2 Cu 2.60-2.64
3 Cu 0.1496 0.2500 0.8054  2 Cu 2.60, 4 Te 2.67-2.89
4 Cu 0.1996 0.4536 0.9904  3 Te 2.59-2.65, 2 Cu 2.60-2.64
5 Cu 0.8004 0.5464 0.0096  3 Te 2.59-2.65, 2 Cu 2.60-2.64
6 Cu 0.8004 0.9536 0.0096  3 Te 2.59-2.65, 2 Cu 2.60-2.64
7 Te 0.0963 0.4675 0.2109  3 Cu 2.59-2.77, 1 Sn 2.83
8 Te 0.9037 0.9675 0.7891  3 Cu 2.59-2.77, 1 Sn 2.83
9 Te 0.2665 0.2500 0.5863  1 Cu 2.67, 1 Sn 2.75
10 Te 0.0963 0.0325 0.2109  3 Cu 2.59-2.77, 1 Sn 2.83
11 Te 0.9037 0.5325 0.7891  3 Cu 2.59-2.77, 1 Sn 2.83
12 Te 0.5301 0.2500 0.0181  3 Cu 2.61-2.89, 1 Sn 2.85
13 Te 0.7335 0.7500 0.4137  1 Cu 2.67, 1 Sn 2.75
14 Te 0.4699 0.7500 0.9819  3 Cu 2.61-2.89, 1 Sn 2.85
15 Rb 0.6800 0.2500 0.3901  9 Te 3.72-4.15
16 Rb 0.3200 0.7500 0.6099  9 Te 3.72-4.15
17 Sn 0.3585 0.7500 0.2185  4 Te 2.75-2.85
18 Sn 0.6415 0.2500 0.7815  4 Te 2.75-2.85

***

Entry 8:
This record from OQMD describes SrU2N4 after structural relaxation. The functional is GGA-PBE.

Values from the calculation:
- V: 15.2 Å³ per atom
- Crystal system: orthorhombic
- DFT total energy: -132.9 eV/cell
- Symmetry: Cmcm (63)

a = 5.9248 Å, b = 5.9248 Å, c = 10.7930 Å
α = 90.00°, β = 90.00°, γ = 145.77°
With the nearest neighbours (Å) after each atom.
Fractional positions:
1 U 0.6317 0.3683 0.9315  4 N 2.13-2.31
2 U 0.6317 0.3683 0.5685  4 N 2.13-2.31
3 U 0.3683 0.6317 0.4315  4 N 2.13-2.31
4 U 0.3683 0.6317 0.0685  4 N 2.13-2.31
5 N 0.7380 0.2620 0.4031  3 U 2.15-2.31
6 N 0.5589 0.4411 0.7500  2 U 2.13
7 N 0.2620 0.7380 0.9031  3 U 2.15-2.31
8 N 0.0000 0.0000 0.0000  4 U 2.41
9 N 0.2620 0.7380 0.5969  3 U 2.15-2.31
10 N 0.4411 0.5589 0.2500  2 U 2.13
11 N 0.7380 0.2620 0.0969  3 U 2.15-2.31
12 N 0.0000 0.0000 0.5000  4 U 2.41
13 Sr 0.8933 0.1067 0.7500  6 N 2.56-2.83
14 Sr 0.1067 0.8933 0.2500  6 N 2.56-2.83

***

- Look up the V of the eighth one.
  15.2 Å³ per atom